Entry 1:
A plane-wave DFT calculation with meta-GGA SCAN was carried out for KSr2Ta at its PBEsol-relaxed geometry.

Cell and atoms, written as CIF:
```
data_KSr2Ta
_cell_length_a 3.413
_cell_length_b 6.132
_cell_length_c 6.629
_cell_angle_alpha 90.00
_cell_angle_beta 90.00
_cell_angle_gamma 90.00
_symmetry_space_group_name_H-M 'P m m 2'
_symmetry_Int_Tables_number 25
_symmetry_space_group_name_Hall 'P 2 -2'
loop_
_atom_site_label
_atom_site_fract_x
_atom_site_fract_y
_atom_site_fract_z
_atom_site_occupancy
K1 0.000 0.000 0.000 1
Sr1 0.500 0.000 0.538 1
Sr2 0.500 0.500 0.203 1
Ta1 0.000 0.500 0.667 1
```

## Properties
Size of the total moment   1.90 μB/cell
Calculated volume   34.7 Å³/atom

=====

Entry 2:
A plane-wave DFT calculation with meta-GGA SCAN was carried out for KSrTa2 at its PBEsol-relaxed geometry.

Cell and atoms, written as CIF:
```
data_KSrTa2
_cell_length_a 4.024
_cell_length_b 4.024
_cell_length_c 5.917
_cell_angle_alpha 90.00
_cell_angle_beta 90.00
_cell_angle_gamma 90.00
_symmetry_space_group_name_H-M 'P 4/m m m'
_symmetry_Int_Tables_number 123
_symmetry_space_group_name_Hall '-P 4 2'
loop_
_atom_site_label
_atom_site_fract_x
_atom_site_fract_y
_atom_site_fract_z
_atom_site_occupancy
K1 0.000 0.000 0.000 1
Sr1 0.500 0.500 0.000 1
Ta1 0.000 0.500 0.500 1
```

## Properties
Size of the total moment   0.00 μB/cell
Calculated volume   24.0 Å³/atom

=====

Electronic total energy, record by record: -28.735, -39.492 eV per atom
ΔH_f (0 K), record by record: 1.130, 1.451 eV per atom
Polymorph energy (0 for the lowest one), record by record: 0, 272 meV per atom